Entry from Alexandria: a relaxed structure of LaNd2ZnN (PBE-GGA).

a = 5.009 Å, b = 5.009 Å, c = 5.052 Å
α = 90.00°, β = 90.00°, γ = 90.00°
Space group P4/mmm (No. 123)
Asymmetric unit:
La 0.000 0.000 0.000 (multiplicity 1)
Nd 0.000 0.500 0.500 (multiplicity 2)
Zn 0.500 0.500 0.000 (multiplicity 1)
N 0.000 0.000 0.500 (multiplicity 1)

Computed properties:
Raw total energy ... -27.22 eV for the cell shown
E_form (uncorrected) ... -304 kJ/mol of formula units
DOS at the Fermi energy ... 4.88 states/eV per cell